Computed, not measured: a geometry-optimized LaPmSnTe structure at the PBE level of DFT.

abc: 4.5584 4.5584 7.9278
angles: 73.29 73.29 60.00
Last column: nearest neighbours and their distance in Å.
Positions (direct):
Te1 0.4419 0.4419 0.6743  3 Pm 3.24, 3 La 3.30
Sn1 0.9463 0.9463 0.1611  3 Pm 3.16, 3 La 3.22
Pm1 0.6910 0.6910 0.9270  3 Sn 3.16, 3 Te 3.24
La1 0.1972 0.1972 0.4083  3 Sn 3.22, 3 Te 3.30

The uncorrected formation energy comes out at -1156 meV per atom. The value obtained for the electronic total energy is -5.36 eV/atom.